Li2CrBi2: optimized geometry, PBE.

```
Li2CrBi2
1.0
7.1380 0.0000 0.0000
0.0000 7.1380 0.0000
0.0000 0.0000 4.2308
Li Cr Bi
4 2 4
direct
0.1517 0.3483 0.0000
0.3483 0.8483 0.0000
0.6517 0.1517 0.0000
0.8483 0.6517 0.0000
0.0000 0.0000 0.5000
0.5000 0.5000 0.5000
0.1600 0.6600 0.5000
0.3400 0.1600 0.5000
0.6600 0.8400 0.5000
0.8400 0.3400 0.5000
```

Output
Energy above the lowest structure with this stoichiometry   0 meV/atom
Formation energy   0.22 eV/atom
Calculated volume   107.8 Å³/f.u.

LiCrBi2: optimized geometry, PBE.

```
LiCrBi2
1.0
7.1988 0.0000 0.0000
0.0000 7.1988 0.0000
0.0000 0.0000 7.1988
Li Cr Bi
4 4 8
direct
0.0000 0.0000 0.0000
0.0000 0.5000 0.5000
0.5000 0.0000 0.5000
0.5000 0.5000 0.0000
0.0000 0.0000 0.5000
0.0000 0.5000 0.0000
0.5000 0.0000 0.0000
0.5000 0.5000 0.5000
0.2500 0.2500 0.2500
0.2500 0.2500 0.7500
0.2500 0.7500 0.2500
0.2500 0.7500 0.7500
0.7500 0.2500 0.2500
0.7500 0.2500 0.7500
0.7500 0.7500 0.2500
0.7500 0.7500 0.7500
```

Output
Energy above the lowest structure with this stoichiometry   0 meV/atom
Formation energy   0.06 eV/atom
Calculated volume   93.3 Å³/f.u.

LiCr2Bi2: optimized geometry, PBE.

```
LiCr2Bi2
1.0
5.0973 0.0000 0.0000
0.0000 5.0973 0.0000
0.0000 0.0000 8.4112
Li Cr Bi
2 4 4
direct
0.0000 0.0000 0.0000
0.5000 0.5000 0.5000
0.0000 0.0000 0.3922
0.0000 0.0000 0.6078
0.5000 0.5000 0.1078
0.5000 0.5000 0.8922
0.0000 0.5000 0.2500
0.0000 0.5000 0.7500
0.5000 0.0000 0.2500
0.5000 0.0000 0.7500
```

Output
Energy above the lowest structure with this stoichiometry   0 meV/atom
Formation energy   0.39 eV/atom
Calculated volume   109.3 Å³/f.u.

LiCrBi2: optimized geometry, PBE.

```
LiCrBi2
1.0
7.6393 0.0000 0.0000
0.0000 7.6393 0.0000
0.0000 0.0000 6.6902
Li Cr Bi
4 4 8
direct
0.0000 0.0000 0.0000
0.0000 0.5000 0.2500
0.5000 0.0000 0.7500
0.5000 0.5000 0.5000
0.0000 0.0000 0.5000
0.0000 0.5000 0.7500
0.5000 0.0000 0.2500
0.5000 0.5000 0.0000
0.2273 0.7500 0.6250
0.2500 0.2273 0.3750
0.2500 0.2727 0.8750
0.2727 0.7500 0.1250
0.7273 0.2500 0.1250
0.7500 0.7273 0.8750
0.7500 0.7727 0.3750
0.7727 0.2500 0.6250
```

Output
Energy above the lowest structure with this stoichiometry   507 meV/atom
Formation energy   0.56 eV/atom
Calculated volume   97.6 Å³/f.u.